Record 1
Below is an optimized crystal structure of Na2InSiBr, with properties calculated at the PBE level.

Values from the calculation:
**SG**: P4/mmm (123)
**Raw formation energy**: 0.134 eV per atom

a b c (Å): 5.4905 5.4905 5.5968
angles (deg): 90.00 90.00 90.00
Fractional coordinates of all 5 atoms:
Na1 0.0000 0.5000 0.0000
Na2 0.5000 0.0000 0.0000
In1 0.0000 0.0000 0.5000
Si1 0.5000 0.5000 0.5000
Br1 0.5000 0.5000 0.0000

=====

Record 2
Below is an optimized crystal structure of BeRu2Br, with properties calculated at the PBE level.

Values from the calculation:
**Excess energy over the best structure of this formula in the dataset**: 269 kJ/mol of formula units
**SG**: F-43m (216)
**Raw formation energy**: 1.018 eV per atom

a b c (Å): 4.3577 4.3577 4.3577
angles (deg): 60.00 60.00 60.00
Fractional coordinates of all 4 atoms:
Be1 0.0000 0.0000 0.0000
Ru1 0.5000 0.5000 0.5000
Ru2 0.7500 0.7500 0.7500
Br1 0.2500 0.2500 0.2500

=====

Record 3
Below is an optimized crystal structure of CuIN2F, with properties calculated at the PBE level.

Values from the calculation:
**Excess energy over the best structure of this formula in the dataset**: 0 kJ/mol of formula units
**SG**: P4/mmm (123)
**Raw formation energy**: 1.096 eV per atom

a b c (Å): 3.9921 3.9921 3.8468
angles (deg): 90.00 90.00 90.00
Fractional coordinates of all 5 atoms:
Cu1 0.0000 0.0000 0.0000
I1 0.5000 0.5000 0.5000
N1 0.0000 0.5000 0.0000
N2 0.5000 0.0000 0.0000
F1 0.0000 0.0000 0.5000

=====

Record 4
Below is an optimized crystal structure of GdHfNi2, with properties calculated at the PBE level.

Values from the calculation:
**Excess energy over the best structure of this formula in the dataset**: 0 kJ/mol of formula units
**SG**: P4/mmm (123)
**DFT formation energy**: -9.2 kcal/mol of atoms

a b c (Å): 3.2583 3.2583 6.7797
angles (deg): 90.00 90.00 90.00
Fractional coordinates of all 4 atoms:
Gd1 0.0000 0.0000 0.0000
Hf1 0.0000 0.0000 0.5000
Ni1 0.5000 0.5000 0.2962
Ni2 0.5000 0.5000 0.7038

=====

These records have E_tot values of -2.36 -4.97 -3.74 -9.30 eV/atom, in the order they appear.
These records have magnetization values of 0.000 0.364 0.000 7.319 μB per formula unit, in the order they appear.